The following is a DFT calculation (PBE+U) of crystalline KMoO3 at its relaxed geometry.

Unit cell a=8.1545 b=8.1545 c=5.2333 alpha=90.00 beta=90.00 gamma=136.29
Element x y z (fractional)
Mo 0.0924 0.9076 0.2500
Mo 0.9076 0.0924 0.7500
K 0.3257 0.6743 0.2500
K 0.6743 0.3257 0.7500
O 0.9174 0.5993 0.2500
O 0.4007 0.0826 0.2500
O 0.5993 0.9174 0.7500
O 0.0826 0.4007 0.7500
O 0.0000 0.0000 0.0000
O 0.0000 0.0000 0.5000

Summary:
As for the final energy: -0.4549 Ry per atom. The total magnetization comes out at 0.0000 μB/atom. Its theoretical density is 2.528 g/cm3. As for the volume: 120 Å³/f.u.